DFT (PBE with a Hubbard U) results for a geometry-optimized RbLi3V4O12 structure.

Results
Energy   -6.41 eV per atom

abc: 7.0453 7.0453 7.0453
angles: 110.23 110.23 110.23
Closest atoms and distances in Å follow each position.
Element x y z (fractional)
Rb: 0.0000 0.0000 0.0000  6 O 2.88
Li: 0.0000 0.5704 0.4296  6 O 2.11-2.20
Li: 0.4296 0.0000 0.5704  6 O 2.11-2.20
Li: 0.5704 0.4296 0.0000  6 O 2.11-2.20
V: 0.0714 0.5000 0.9286  3 O 1.68-1.74
V: 0.5000 0.5000 0.5000  3 O 1.68
V: 0.5000 0.9286 0.0714  3 O 1.68-1.74
V: 0.9286 0.0714 0.5000  3 O 1.68-1.74
O: 0.0743 0.9257 0.5000  1 V 1.68
O: 0.0997 0.6495 0.7792  1 V 1.74
O: 0.2208 0.3505 0.9003  1 V 1.74
O: 0.3505 0.9003 0.2208  1 V 1.74
O: 0.3543 0.6457 0.5000  1 V 1.68
O: 0.5000 0.0743 0.9257  1 V 1.68
O: 0.5000 0.3543 0.6457  1 V 1.68
O: 0.6457 0.5000 0.3543  1 V 1.68
O: 0.6495 0.7792 0.0997  1 V 1.74
O: 0.7792 0.0997 0.6495  1 V 1.74
O: 0.9003 0.2208 0.3505  1 V 1.74
O: 0.9257 0.5000 0.0743  1 V 1.68